Record 1
Density functional theory data (PBE-GGA) for a relaxed structure of Dy5ThAl6.

```
12
Lattice="4.919 0.026 -1.425 -0.996 6.375 -3.320 -0.068 0.470 8.853" Properties=species:S:1:pos:R:3 pbc="T T T"
Al 3.470 3.966 2.762
Al 3.949 0.900 4.359
Al 1.730 4.680 -3.143
Al 2.125 2.191 7.252
Al -0.094 5.971 -0.250
Al 0.385 2.905 1.347
Th 0.000 0.000 0.000
Dy 3.066 1.191 1.368
Dy 1.247 2.416 4.266
Dy -0.498 3.187 -1.660
Dy 2.608 4.455 -0.157
Dy 0.789 5.680 2.741
```

Summary:
The density of states at the Fermi level is 5.087 states/eV/f.u. The symmetry is C2/m, No. 12. Its calculated density is 7.02 g cm⁻³. The total magnetic moment comes out at 0.0 μB/cell. The calculation puts the formation enthalpy at 0 K at -359 meV per atom.

***

Record 2
Density functional theory data (PBE-GGA) for a relaxed structure of FeCo4.

```
5
Lattice="-0.802 -0.607 -4.083 3.744 -1.858 -0.459 -1.738 -3.723 0.895" Properties=species:S:1:pos:R:3 pbc="T T T"
Co 0.000 0.000 0.000
Co -1.270 -2.165 -1.594
Co 1.003 -2.791 0.218
Co 1.471 -1.233 -2.271
Fe 0.602 -3.094 -1.823
```

Summary:
The density of states at the Fermi level is 7.756 states/eV/f.u. The symmetry is Pm-3m, No. 221. Its calculated density is 6.51 g cm⁻³. Its distance to the lowest polymorph of the same formula is 1293 meV per atom. The total magnetic moment comes out at 9.5 μB/cell. The calculation puts the formation enthalpy at 0 K at 1324 meV per atom.

***

Record 3
Density functional theory data (PBE-GGA) for a relaxed structure of SrSb5.

```
6
Lattice="-3.839 0.063 -1.870 0.446 -5.284 -1.095 -3.543 0.961 7.306" Properties=species:S:1:pos:R:3 pbc="T T T"
Sb -0.772 -3.146 1.479
Sb -2.324 -1.177 4.732
Sb -1.696 -2.610 -1.482
Sb -3.244 -0.639 1.763
Sb -3.690 -3.621 2.578
Sr 0.000 0.000 0.000
```

Summary:
The density of states at the Fermi level is 2.558 states/eV/f.u. The symmetry is Cmmm, No. 65. Its calculated density is 6.48 g cm⁻³. Its distance to the lowest polymorph of the same formula is 37 meV per atom. Its uncorrected formation energy is -212 meV per atom. The total magnetic moment comes out at 0.0 μB/cell.

***

What is the total magnetic moment in the first record?
0.0 μB/cell